# 1
DFT (PBE) results for a relaxed RbHg2GeSe4 crystal.

Structure (POSCAR):
```
RbHg2GeSe4
1.0
0.0000 5.2810 4.4798
5.2550 0.0000 4.4798
5.2550 5.2810 0.0000
Rb Hg Ge Se
1 2 1 4
Cartesian
0.0000 0.0000 0.0000
2.6275 2.6405 2.3247
7.8824 7.9215 6.8046
5.2550 5.2810 4.4861
7.2392 5.2810 3.1040
5.2550 3.2982 5.8389
3.2707 5.2810 3.1040
5.2550 7.2637 5.8389
```

Results
Formation energy from raw total energies, eV/atom: -0.4163
Space group: Fmm2 (42)
Calculated volume, A^3/atom: 31.1


# 2
DFT (PBE) results for a relaxed Na3Pa3CuS8 crystal.

Structure (POSCAR):
```
Na3Pa3CuS8
1.0
6.6176 -4.0623 0.0000
6.6176 4.0623 0.0000
-4.3347 0.0000 6.7153
Na Pa Cu S
3 3 1 8
Cartesian
0.0000 0.0000 0.0000
3.3088 2.0312 0.0000
3.3088 -2.0312 0.0000
1.1414 2.0312 3.3577
1.1414 -2.0312 3.3577
4.4503 0.0000 3.3577
-2.1674 0.0000 3.3577
-0.1950 0.0000 4.6585
2.1787 0.0000 1.7918
3.2987 1.8739 4.9188
5.6018 1.8739 1.7966
3.2987 -1.8739 4.9188
5.6018 -1.8739 1.7966
6.7218 0.0000 4.9235
9.0955 0.0000 2.0568
```

Results
Formation energy from raw total energies, eV/atom: -1.2964
Space group: C2/m (12)
Calculated volume, A^3/atom: 24.1


no.,energy (eV/atom)
1,-2.932
2,-5.934